[1]
# Mg2ZnPb, optimized geometry, DFT GGA-PBE
# DFT formation energy ... -0.003 eV/atom
# Total magnetization ... 0.00 μB per formula unit
# N(E_F) ... 0.233 states/eV per atom
data_Mg2ZnPb
_cell_length_a 3.3284
_cell_length_b 3.3284
_cell_length_c 29.0865
_cell_angle_alpha 90.00
_cell_angle_beta 90.00
_cell_angle_gamma 120.00
_symmetry_space_group_name_H-M 'R -3 m'
_symmetry_Int_Tables_number 166
_symmetry_space_group_name_Hall '-R 3 2"'
loop_
_atom_site_label
_atom_site_fract_x
_atom_site_fract_y
_atom_site_fract_z
Mg1 0.0000 0.0000 0.2371
Zn1 0.0000 0.0000 0.5000
Pb1 0.0000 0.0000 0.0000

[2]
# GaRhI3, optimized geometry, DFT GGA-PBE
# Total magnetization ... 0.00 μB per formula unit
# E above lowest polymorph ... 0 meV/atom
# N(E_F) ... 0.588 states/eV per atom
data_GaRhI3
_cell_length_a 5.4665
_cell_length_b 5.4665
_cell_length_c 5.4665
_cell_angle_alpha 90.00
_cell_angle_beta 90.00
_cell_angle_gamma 90.00
_symmetry_space_group_name_H-M 'P m -3 m'
_symmetry_Int_Tables_number 221
_symmetry_space_group_name_Hall '-P 4 2 3'
loop_
_atom_site_label
_atom_site_fract_x
_atom_site_fract_y
_atom_site_fract_z
Ga1 0.0000 0.0000 0.0000
Rh1 0.5000 0.5000 0.5000
I1 0.0000 0.5000 0.5000

[3]
# Ho6Mg2NO, optimized geometry, DFT GGA-PBE
# Total energy ... -5.363 eV/atom
# Total magnetization ... 0.00 μB per formula unit
# N(E_F) ... 0.774 states/eV per atom
data_Ho6Mg2NO
_cell_length_a 9.6512
_cell_length_b 9.6512
_cell_length_c 9.6512
_cell_angle_alpha 90.00
_cell_angle_beta 90.00
_cell_angle_gamma 90.00
_symmetry_space_group_name_H-M 'F m -3 m'
_symmetry_Int_Tables_number 225
_symmetry_space_group_name_Hall '-F 4 2 3'
loop_
_atom_site_label
_atom_site_fract_x
_atom_site_fract_y
_atom_site_fract_z
Ho1 0.0000 0.0000 0.2475
Mg1 0.2500 0.2500 0.2500
N1 0.0000 0.0000 0.0000
O1 0.0000 0.0000 0.5000

Question: Which of these has the lowest N(E_F)?
Answer: Mg2ZnPb